Record 1
Material: AcTh2Bi4
Method: DFT, PBE
State: relaxed

Geometry as CIF:
```
data_AcTh2Bi4
_cell_length_a 9.782
_cell_length_b 9.782
_cell_length_c 9.926
_cell_angle_alpha 90.00
_cell_angle_beta 90.00
_cell_angle_gamma 90.00
_space_group_name_H-M_alt 'I -4 2 d'
_space_group_IT_number 122
_space_group_name_Hall 'I -4 2bw'
loop_
_atom_site_label
_atom_site_type_symbol
_atom_site_fract_x
_atom_site_fract_y
_atom_site_fract_z
Ac1 Ac 0.000 0.000 0.000
Th1 Th 0.128 0.250 0.625
Bi1 Bi 0.084 0.164 0.306
```

Record 2
Material: Ac4ThBi6
Method: DFT, PBE
State: relaxed

Geometry as CIF:
```
data_Ac4ThBi6
_cell_length_a 13.1203
_cell_length_b 13.1203
_cell_length_c 16.9970
_cell_angle_alpha 90.00
_cell_angle_beta 90.00
_cell_angle_gamma 120.00
_space_group_name_H-M_alt 'R -3 c'
_space_group_IT_number 167
_space_group_name_Hall '-R 3 2"c'
loop_
_atom_site_label
_atom_site_type_symbol
_atom_site_fract_x
_atom_site_fract_y
_atom_site_fract_z
Ac1 Ac 0.0000 0.0000 0.2500
Ac2 Ac 0.0000 0.3854 0.2500
Th1 Th 0.0000 0.0000 0.0000
Bi1 Bi 0.0306 0.2125 0.3890
```

| no. | density of states at the Fermi level (states/eV/f.u.) | formation energy (kJ per mole of atoms) |
| --- | --- | --- |
| 1 | 3.75 | -66.06 |
| 2 | 6.11 | -74.44 |